# HoThBi2, relaxed, DFT PBE-GGA
data_HoThBi2
_cell_length_a 4.541
_cell_length_b 4.541
_cell_length_c 7.809
_cell_angle_alpha 73.15
_cell_angle_beta 73.15
_cell_angle_gamma 59.94
_space_group_name_H-M_alt 'P 1'
_space_group_IT_number 1
_space_group_name_Hall 'P 1'
loop_
_atom_site_label
_atom_site_type_symbol
_atom_site_fract_x
_atom_site_fract_y
_atom_site_fract_z
_atom_site_occupancy
Ho1 Ho 0.000 0.000 0.000 1
Th1 Th 0.500 0.500 0.500 1
Bi1 Bi 0.746 0.746 0.761 1
Bi2 Bi 0.254 0.254 0.239 1
# Energy of formation: -0.6970 eV per atom
# Offset from the most stable computed form: 0 meV per atom

# Ho2ThBi, relaxed, DFT PBE-GGA
data_Ho2ThBi
_cell_length_a 3.608
_cell_length_b 3.608
_cell_length_c 11.119
_cell_angle_alpha 80.66
_cell_angle_beta 80.66
_cell_angle_gamma 60.00
_space_group_name_H-M_alt 'P 1'
_space_group_IT_number 1
_space_group_name_Hall 'P 1'
loop_
_atom_site_label
_atom_site_type_symbol
_atom_site_fract_x
_atom_site_fract_y
_atom_site_fract_z
_atom_site_occupancy
Ho1 Ho 0.079 0.079 0.762 1
Ho2 Ho 0.254 0.254 0.237 1
Th1 Th 0.500 0.500 0.500 1
Bi1 Bi 0.667 0.667 0.000 1
# Energy of formation: -0.1485 eV per atom
# Offset from the most stable computed form: 196 meV per atom

# Ho5ThBi4, relaxed, DFT PBE-GGA
data_Ho5ThBi4
_cell_length_a 4.383
_cell_length_b 7.732
_cell_length_c 11.644
_cell_angle_alpha 119.86
_cell_angle_beta 100.85
_cell_angle_gamma 90.00
_space_group_name_H-M_alt 'P 1'
_space_group_IT_number 1
_space_group_name_Hall 'P 1'
loop_
_atom_site_label
_atom_site_type_symbol
_atom_site_fract_x
_atom_site_fract_y
_atom_site_fract_z
_atom_site_occupancy
Ho1 Ho 0.812 0.709 0.624 1
Ho2 Ho 0.800 0.212 0.600 1
Ho3 Ho 0.200 0.788 0.400 1
Ho4 Ho 0.500 0.500 0.000 1
Ho5 Ho 0.188 0.291 0.376 1
Th1 Th 0.500 0.000 0.000 1
Bi1 Bi 0.366 0.058 0.733 1
Bi2 Bi 0.934 0.639 0.868 1
Bi3 Bi 0.634 0.942 0.267 1
Bi4 Bi 0.066 0.361 0.132 1
# Energy of formation: -0.4802 eV per atom